1.
An optimized crystal structure of Tm3Ga12Ni, computed with PBE.

It has space group P4/mmm (No. 123), with a = 4.247 Å, b = 4.247 Å, c = 16.040 Å, α = 90.00°, β = 90.00° and γ = 90.00°. The inequivalent atoms are Tm at (0.000, 0.000, 0.000), Tm at (0.000, 0.000, 0.267), Ga at (0.000, 0.500, 0.133), Ga at (0.000, 0.500, 0.398), Ga at (0.500, 0.500, 0.000), Ga at (0.500, 0.500, 0.261), Ga at (0.500, 0.500, 0.500) and Ni at (0.000, 0.000, 0.500).

---

2.
An optimized crystal structure of TmGa6Ni6, computed with PBE.

It has space group Immm (No. 71), with a = 5.013 Å, b = 8.236 Å, c = 8.674 Å, α = 90.00°, β = 90.00° and γ = 90.00°. The inequivalent atoms are Tm at (0.000, 0.000, 0.000), Ga at (0.000, 0.000, 0.344), Ga at (0.000, 0.342, 0.000), Ga at (0.000, 0.500, 0.316), Ni at (0.000, 0.263, 0.500) and Ni at (0.250, 0.250, 0.250).

---

3.
An optimized crystal structure of TmGa8Ni4, computed with PBE.

It has space group I4/mmm (No. 139), with a = 8.560 Å, b = 8.560 Å, c = 5.174 Å, α = 90.00°, β = 90.00° and γ = 90.00°. The inequivalent atoms are Tm at (0.000, 0.000, 0.000), Ga at (0.000, 0.221, 0.500), Ga at (0.000, 0.342, 0.000) and Ni at (0.250, 0.250, 0.250).

---

4.
An optimized crystal structure of TmGa2Ni5, computed with PBE.

It has space group Immm (No. 71), with a = 3.585 Å, b = 6.629 Å, c = 9.478 Å, α = 90.00°, β = 90.00° and γ = 90.00°. The inequivalent atoms are Tm at (0.000, 0.000, 0.000), Ga at (0.000, 0.500, 0.248), Ni at (0.000, 0.190, 0.368) and Ni at (0.000, 0.500, 0.000).

---

5.
An optimized crystal structure of Tm4Ga3Ni, computed with PBE.

It has space group Pmm2 (No. 25), with a = 3.804 Å, b = 4.267 Å, c = 10.809 Å, α = 90.00°, β = 90.00° and γ = 90.00°. The inequivalent atoms are Tm at (0.000, 0.000, 0.000), Tm at (0.000, 0.500, 0.269), Tm at (0.500, 0.000, 0.468), Tm at (0.500, 0.500, 0.779), Ga at (0.000, 0.000, 0.703), Ga at (0.000, 0.500, 0.552), Ga at (0.500, 0.500, 0.057) and Ni at (0.500, 0.000, 0.199).

---

6.
An optimized crystal structure of Tm3Ga2Ni2, computed with PBE.

It has space group Pbcm (No. 57), with a = 5.419 Å, b = 7.787 Å, c = 12.855 Å, α = 90.00°, β = 90.00° and γ = 90.00°. The inequivalent atoms are Tm at (0.140, 0.243, 0.250), Tm at (0.348, 0.601, 0.100), Ga at (0.153, 0.250, 0.000), Ga at (0.358, 0.608, 0.750) and Ni at (0.128, 0.536, 0.590).

---

7.
An optimized crystal structure of Tm4GaNi3, computed with PBE.

It has space group Pmm2 (No. 25), with a = 3.632 Å, b = 4.280 Å, c = 10.307 Å, α = 90.00°, β = 90.00° and γ = 90.00°. The inequivalent atoms are Tm at (0.000, 0.000, 0.000), Tm at (0.000, 0.500, 0.266), Tm at (0.500, 0.000, 0.477), Tm at (0.500, 0.500, 0.777), Ga at (0.000, 0.000, 0.700), Ni at (0.000, 0.500, 0.558), Ni at (0.500, 0.000, 0.204) and Ni at (0.500, 0.500, 0.059).

---

8.
An optimized crystal structure of TmGa3Ni, computed with PBE.

It has space group Pnma (No. 62), with a = 8.086 Å, b = 4.032 Å, c = 10.529 Å, α = 90.00°, β = 90.00° and γ = 90.00°. The inequivalent atoms are Tm at (0.192, 0.250, 0.013), Ga at (0.061, 0.250, 0.586), Ga at (0.110, 0.750, 0.804), Ga at (0.142, 0.750, 0.217) and Ni at (0.101, 0.250, 0.355).

---

For the records above, the corresponding ΔH_f (0 K) values read -0.390, -0.482, -0.425, -0.371, -0.564, -0.597, -0.516, -0.562 eV/atom.
For the records above, the corresponding DOS(E_F) values read 6.94, 8.61, 4.49, 4.73, 5.58, 5.12, 4.71, 2.52 states/eV/f.u..